[1]
Compound: PaCrP
Source: Alexandria
Functional: PBE
Structure: optimized geometry

Computed properties:
SG: No. 70
DFT formation energy (eV per atom): -0.145
VASP energy (eV/atom): -8.32

a = 7.196 Å, b = 7.196 Å, c = 6.509 Å
α = 113.91°, β = 113.91°, γ = 105.47°
Fractional positions:
Pa: 0.715 0.715 0.429
Pa: 0.285 0.285 0.571
Pa: 0.535 0.035 0.071
Pa: 0.965 0.465 0.929
P: 0.962 0.462 0.500
P: 0.712 0.712 0.000
P: 0.538 0.038 0.500
P: 0.288 0.288 0.000
Cr: 0.125 0.375 0.250
Cr: 0.125 0.875 0.750
Cr: 0.125 0.875 0.250
Cr: 0.625 0.875 0.750

=====

[2]
Compound: PaCrP2Ru
Source: Alexandria
Functional: PBE
Structure: optimized geometry

Computed properties:
SG: No. 119
DFT formation energy (eV per atom): -0.826
VASP energy (eV/atom): -8.67

a = 4.050 Å, b = 4.050 Å, c = 5.514 Å
α = 111.54°, β = 111.54°, γ = 90.00°
Fractional positions:
Pa: 0.000 0.000 0.000
Cr: 0.750 0.250 0.500
P: 0.628 0.628 0.257
P: 0.372 0.372 0.743
Ru: 0.250 0.750 0.500

=====

[3]
Compound: PaCr2Si2P
Source: Alexandria
Functional: PBE
Structure: optimized geometry

Computed properties:
SG: No. 123
Formation energy (no corrections) (eV/atom): -0.35
VASP energy (eV/atom): -7.85

a = 4.234 Å, b = 4.234 Å, c = 5.316 Å
α = 90.00°, β = 90.00°, γ = 90.00°
Fractional positions:
Pa: 0.000 0.000 0.500
Cr: 0.500 0.000 0.000
Cr: 0.000 0.500 0.000
Si: 0.500 0.500 0.727
Si: 0.500 0.500 0.273
P: 0.000 0.000 0.000

=====

[4]
Compound: PaCrTcP2
Source: Alexandria
Functional: PBE
Structure: optimized geometry

Computed properties:
SG: No. 119
DFT formation energy (eV per atom): -0.756
VASP energy (eV/atom): -8.82

a = 4.046 Å, b = 4.046 Å, c = 5.589 Å
α = 111.22°, β = 111.22°, γ = 90.00°
Fractional positions:
Pa: 0.000 0.000 0.000
Cr: 0.750 0.250 0.500
Tc: 0.250 0.750 0.500
P: 0.625 0.625 0.250
P: 0.375 0.375 0.750

=====

[5]
Compound: CrP2Pb
Source: Alexandria
Functional: PBE
Structure: optimized geometry

Computed properties:
SG: No. 119
DFT formation energy (eV per atom): 0.574
VASP energy (eV/atom): -5.46

a = 5.912 Å, b = 5.912 Å, c = 5.912 Å
α = 141.89°, β = 141.89°, γ = 54.99°
Fractional positions:
Cr: 0.750 0.250 0.500
P: 0.000 0.000 0.000
P: 0.250 0.750 0.500
Pb: 0.500 0.500 0.000

=====

[6]
Compound: Cr2PPb
Source: Alexandria
Functional: PBE
Structure: optimized geometry

Computed properties:
SG: No. 10
DFT formation energy (eV per atom): 0.216
VASP energy (eV/atom): -6.87

a = 3.032 Å, b = 3.048 Å, c = 7.172 Å
α = 76.42°, β = 90.00°, γ = 90.00°
Fractional positions:
Cr: 0.000 0.847 0.092
Cr: 0.000 0.653 0.408
P: 0.500 0.250 0.250
Pb: 0.500 0.750 0.750

=====

[7]
Compound: CrP2Pb
Source: Alexandria
Functional: PBE
Structure: optimized geometry

Computed properties:
SG: No. 99
DFT formation energy (eV per atom): 0.167
VASP energy (eV/atom): -5.87

a = 3.072 Å, b = 3.072 Å, c = 7.764 Å
α = 90.00°, β = 90.00°, γ = 90.00°
Fractional positions:
Cr: 0.500 0.500 0.847
P: 0.000 0.000 0.958
P: 0.500 0.500 0.143
Pb: 0.000 0.000 0.551

=====

[8]
Compound: CrPPb2
Source: Alexandria
Functional: PBE
Structure: optimized geometry

Computed properties:
SG: No. 123
DFT formation energy (eV per atom): 0.542
VASP energy (eV/atom): -5.07

a = 3.844 Å, b = 3.844 Å, c = 6.260 Å
α = 90.00°, β = 90.00°, γ = 89.96°
Fractional positions:
Cr: 0.500 0.500 0.250
P: 0.500 0.500 0.750
Pb: 0.000 0.000 0.995
Pb: 0.000 0.000 0.505

=====

[9]
Compound: CrP2Pb
Source: Alexandria
Functional: PBE
Structure: optimized geometry

Computed properties:
SG: No. 139
DFT formation energy (eV per atom): 0.522
VASP energy (eV/atom): -5.52

a = 4.648 Å, b = 4.648 Å, c = 4.648 Å
α = 114.26°, β = 114.26°, γ = 100.26°
Fractional positions:
Cr: 0.750 0.250 0.500
P: 0.000 0.000 0.000
P: 0.500 0.500 0.000
Pb: 0.250 0.750 0.500

=====

[10]
Compound: CrP2Pb
Source: Alexandria
Functional: PBE
Structure: optimized geometry

Computed properties:
SG: No. 8
DFT formation energy (eV per atom): -0.002
VASP energy (eV/atom): -6.04

a = 4.267 Å, b = 4.267 Å, c = 6.349 Å
α = 77.21°, β = 77.21°, γ = 43.70°
Fractional positions:
Cr: 0.780 0.780 0.917
P: 0.076 0.076 0.892
P: 0.231 0.231 0.176
Pb: 0.413 0.413 0.514

=====

[11]
Compound: CrP2Pb2
Source: Alexandria
Functional: PBE
Structure: optimized geometry

Computed properties:
SG: No. 127
DFT formation energy (eV per atom): 0.099
VASP energy (eV/atom): -5.47

a = 6.245 Å, b = 6.245 Å, c = 5.568 Å
α = 90.00°, β = 90.00°, γ = 90.00°
Fractional positions:
Pb: 0.198 0.698 0.500
Pb: 0.698 0.802 0.500
Pb: 0.802 0.302 0.500
Pb: 0.302 0.198 0.500
Cr: 0.000 0.000 0.000
Cr: 0.500 0.500 0.000
P: 0.374 0.874 0.000
P: 0.874 0.626 0.000
P: 0.626 0.126 0.000
P: 0.126 0.374 0.000

=====

[12]
Compound: CrP2Pb
Source: Alexandria
Functional: PBE
Structure: optimized geometry

Computed properties:
SG: No. 122
DFT formation energy (eV per atom): 0.108
VASP energy (eV/atom): -5.93

a = 5.843 Å, b = 5.843 Å, c = 7.064 Å
α = 65.57°, β = 65.57°, γ = 90.00°
Fractional positions:
Pb: 0.000 0.000 0.000
Pb: 0.750 0.250 0.500
Cr: 0.500 0.500 0.000
Cr: 0.250 0.750 0.500
P: 0.545 0.125 0.250
P: 0.205 0.625 0.250
P: 0.375 0.455 0.750
P: 0.875 0.795 0.750

=====

Look up the VASP energy of the eighth one. -5.07 eV/atom